# SbAs

An optimized crystal structure of SbAs (PBE-GGA, the Alexandria database).

Cell: 6.598 6.598 6.092 Å, 91.01 91.01 36.31°
Element x y z (fractional)
Sb 0.000 0.000 0.000
Sb 0.004 0.004 0.482
Sb 0.677 0.677 0.961
As 0.334 0.334 0.519
As 0.341 0.341 0.934
As 0.673 0.673 0.510

Summary:
Electronic total energy ... -4.300 eV per atom
Density of states at the Fermi level ... 2.21 states/eV per cell
Raw formation energy ... 0.0863 eV per atom
M_tot ... 0.0 μB per cell